1.
This record from the Alexandria database describes an optimized crystal structure of YV. The functional is PBE.

Computed properties:
energy relative to the elements	1.570	eV/atom
density of states at the Fermi level	5.94	states/eV per cell
M_tot	3.66	μB per formula unit

```
YV
1.0
5.085 0.000 0.000
-2.543 4.404 0.000
0.000 0.000 5.871
Y V
2 2
Direct
0.333 0.667 0.250 Y
0.667 0.333 0.750 Y
0.333 0.667 0.750 V
0.667 0.333 0.250 V
```

2.
This record from the Alexandria database describes an optimized crystal structure of YV. The functional is PBE.

Computed properties:
energy relative to the elements	0.342	eV/atom
density of states at the Fermi level	4.48	states/eV per cell
M_tot	0.00	μB per formula unit

```
YV
1.0
3.233 -4.368 0.000
3.233 4.368 0.000
-0.343 0.000 3.179
Y V
2 2
Direct
0.189 0.811 0.000 Y
0.811 0.189 0.000 Y
0.362 0.362 0.592 V
0.638 0.638 0.408 V
```

3.
This record from the Alexandria database describes an optimized crystal structure of YV. The functional is PBE.

Computed properties:
energy relative to the elements	0.642	eV/atom
density of states at the Fermi level	18.96	states/eV per cell
M_tot	0.00	μB per formula unit

```
YV
1.0
10.498 0.000 0.000
-5.249 9.091 0.000
0.000 0.000 3.155
Y V
6 6
Direct
0.076 0.349 0.250 Y
0.273 0.924 0.250 Y
0.349 0.273 0.750 Y
0.651 0.727 0.250 Y
0.727 0.076 0.750 Y
0.924 0.651 0.750 Y
0.196 0.643 0.750 V
0.357 0.553 0.750 V
0.447 0.804 0.750 V
0.553 0.196 0.250 V
0.643 0.447 0.250 V
0.804 0.357 0.250 V
```